(1)
## Pm2DyYSc4 (PBE)

Data for Pm2DyYSc4 after structural relaxation.

Lattice parameters (Å, degrees): 3.450 5.972 11.205 79.86 90.00 90.00
Sites, in units of the cell vectors:
Pm  0.000  0.000  0.000
Pm  0.500  0.000  0.500
Dy  0.000  0.500  0.500
Y  0.500  0.500  0.000
Sc  0.000  0.750  0.749
Sc  0.000  0.250  0.251
Sc  0.500  0.750  0.250
Sc  0.500  0.250  0.750

Calculated values
For the energy relative to the elements, the calculation gives 0.066 eV per atom.

=====

(2)
## PtAu (PBE)

Data for PtAu after structural relaxation.

Lattice parameters (Å, degrees): 4.901 4.901 4.901 130.09 130.09 73.27
Sites, in units of the cell vectors:
Au  0.000  0.000  0.000
Au  0.750  0.250  0.500
Pt  0.250  0.750  0.500
Pt  0.500  0.500  0.000

Calculated values
For the energy relative to the elements, the calculation gives 0.078 eV per atom.

=====

(3)
## BeFeSb2I (PBE)

Data for BeFeSb2I after structural relaxation.

Lattice parameters (Å, degrees): 4.852 4.852 5.328 90.00 90.00 90.00
Site moments in Bohr magnetons follow the coordinates.
Sites, in units of the cell vectors:
I  0.000  0.000  0.500  -0.01
Sb  0.000  0.500  0.000  -0.06
Sb  0.500  0.000  0.000  -0.06
Fe  0.500  0.500  0.500  3.21
Be  0.000  0.000  0.000  -0.01

Calculated values
The value obtained for the uncorrected formation energy is 0.94 eV/atom.

=====

(4)
## Pr2Ho12In5 (PBE)

Data for Pr2Ho12In5 after structural relaxation.

Lattice parameters (Å, degrees): 6.991 9.250 10.299 93.96 90.00 112.21
Sites, in units of the cell vectors:
Pr  0.731  0.000  0.000
Pr  0.269  0.000  0.000
Ho  0.870  0.741  0.170
Ho  0.054  0.616  0.879
Ho  0.562  0.616  0.879
Ho  0.115  0.707  0.434
Ho  0.592  0.707  0.434
Ho  0.476  0.951  0.671
Ho  0.524  0.049  0.329
Ho  0.885  0.293  0.566
Ho  0.408  0.293  0.566
Ho  0.946  0.384  0.121
Ho  0.438  0.384  0.121
Ho  0.130  0.259  0.830
In  0.286  0.572  0.643
In  0.357  0.713  0.155
In  0.000  0.000  0.500
In  0.643  0.287  0.845
In  0.714  0.428  0.357

Calculated values
For the energy relative to the elements, the calculation gives -0.008 eV per atom.

=====

(5)
## Sc2MoW (PBE)

Data for Sc2MoW after structural relaxation.

Lattice parameters (Å, degrees): 5.514 5.514 5.514 144.33 131.26 61.85
Sites, in units of the cell vectors:
Mo  0.250  0.750  0.500
Sc  0.009  0.009  0.000
Sc  0.491  0.491  0.000
W  0.750  0.250  0.500

Calculated values
For the energy relative to the elements, the calculation gives 0.250 eV per atom.

=====

(6)
## Hf6NiPt2 (PBE)

Data for Hf6NiPt2 after structural relaxation.

Lattice parameters (Å, degrees): 5.733 7.161 8.763 90.00 88.61 90.00
Sites, in units of the cell vectors:
Hf  0.831  0.943  0.246
Hf  0.843  0.652  0.543
Hf  0.852  0.730  0.934
Hf  0.648  0.230  0.566
Hf  0.657  0.152  0.957
Hf  0.669  0.443  0.254
Hf  0.169  0.057  0.754
Hf  0.157  0.348  0.457
Hf  0.148  0.270  0.066
Hf  0.352  0.770  0.434
Hf  0.343  0.848  0.043
Hf  0.331  0.557  0.746
Ni  0.500  0.500  0.000
Ni  0.000  0.000  0.500
Pt  0.899  0.402  0.789
Pt  0.601  0.902  0.711
Pt  0.399  0.098  0.289
Pt  0.101  0.598  0.211

Calculated values
For the energy relative to the elements, the calculation gives -0.505 eV per atom.

=====

(7)
## SrAgIr2 (PBE)

Data for SrAgIr2 after structural relaxation.

Lattice parameters (Å, degrees): 5.823 5.823 5.823 149.95 130.23 59.25
Sites, in units of the cell vectors:
Ag  0.250  0.750  0.500
Ir  0.017  0.017  0.000
Ir  0.483  0.483  0.000
Sr  0.750  0.250  0.500

Calculated values
For the energy relative to the elements, the calculation gives 0.402 eV per atom.

=====

(8)
## Nd2NpPbO8 (PBE)

Data for Nd2NpPbO8 after structural relaxation.

Lattice parameters (Å, degrees): 4.005 5.500 7.799 89.95 90.01 95.22
Site moments in Bohr magnetons follow the coordinates.
Sites, in units of the cell vectors:
Nd  0.500  0.500  0.753  0.00
Nd  0.500  0.500  0.247  0.00
Np  0.000  0.000  0.000  0.29
Pb  0.000  0.000  0.500  0.01
O  0.040  0.765  0.211  -0.01
O  0.557  0.778  0.000  -0.02
O  0.960  0.234  0.212  -0.01
O  0.960  0.235  0.789  -0.01
O  0.443  0.222  0.000  -0.02
O  0.040  0.766  0.788  -0.01
O  0.533  0.751  0.500  0.01
O  0.467  0.249  0.500  0.01

Calculated values
The value obtained for the uncorrected formation energy is -2.54 eV/atom.

=====

Number 1: electronic total energy -5.67 eV/atom. Number 2: electronic total energy -4.58 eV/atom. Number 3: electronic total energy -3.46 eV/atom. Number 4: electronic total energy -4.12 eV/atom. Number 5: electronic total energy -8.86 eV/atom. Number 6: electronic total energy -9.13 eV/atom. Number 7: electronic total energy -5.16 eV/atom. Number 8: electronic total energy -8.03 eV/atom.